Entry 1:
Material: Y2Tm3ScBi6
Method: DFT, GGA-PBE
State: optimized geometry

Unit cell a=19.2750 b=4.4226 c=8.8514 alpha=90.00 beta=103.23 gamma=90.00
Closest atoms and distances in Å follow each position.
Space group C2/m (No. 12)
Symmetry-distinct sites (fractional):
Y (0.1657, 0.0000, 0.3322) (multiplicity 4)  6 Bi 3.15-3.16
Tm (0.0000, 0.5000, 0.5000) (multiplicity 2)  6 Bi 3.11-3.18
Tm (0.1688, 0.0000, 0.8342) (multiplicity 4)  6 Bi 3.11-3.15
Sc (0.0000, 0.5000, 0.0000) (multiplicity 2)  6 Bi 3.06-3.08
Bi (0.0021, 0.0000, 0.7586) (multiplicity 4)  2 Sc 3.08, 3 Tm 3.13-3.18, 1 Y 3.15
Bi (0.1631, 0.5000, 0.0783) (multiplicity 4)  1 Sc 3.06, 3 Tm 3.11-3.15, 2 Y 3.15
Bi (0.1659, 0.5000, 0.5854) (multiplicity 4)  3 Tm 3.11, 3 Y 3.15-3.16

Output
Energy of formation in kJ per mole of atoms: -77
Calculated volume in Å³/f.u.: 367.3
Uncorrected energy in eV/atom: -5.458
Total magnetization in μB/cell: 0.00
Crystal system: monoclinic



Entry 2:
Material: DyHo2U2Ru5
Method: DFT, GGA-PBE
State: optimized geometry

Unit cell a=10.5615 b=10.5615 c=3.6097 alpha=90.00 beta=90.00 gamma=90.00
Closest atoms and distances in Å follow each position.
Space group P4/mbm (No. 127)
Symmetry-distinct sites (fractional):
Dy (0.0000, 0.0000, 0.0000) (multiplicity 2)  8 Ru 2.94
Ho (0.1741, 0.3259, 0.0000) (multiplicity 4)  1 U 2.86, 2 Ru 3.17
U (0.1346, 0.6346, 0.0000) (multiplicity 4)  6 Ru 2.56-2.70, 1 Ho 2.86
Ru (0.0000, 0.5000, 0.5000) (multiplicity 2)  4 U 2.70
Ru (0.0544, 0.7871, 0.5000) (multiplicity 8)  2 U 2.56

Output
Energy of formation in kJ per mole of atoms: -28
Calculated volume in Å³/f.u.: 201.3
Uncorrected energy in eV/atom: -8.559
Total magnetization in μB/cell: 0.00
Crystal system: tetragonal



Entry 3:
Material: TlTcW4
Method: DFT, GGA-PBE
State: optimized geometry

Unit cell a=7.5091 b=7.5091 c=7.5091 alpha=90.00 beta=90.00 gamma=90.00
Closest atoms and distances in Å follow each position.
Space group F-43m (No. 216)
Symmetry-distinct sites (fractional):
Tl (0.0000, 0.0000, 0.0000) (multiplicity 4)  12 W 3.11, 4 Tc 3.25
Tc (0.2500, 0.2500, 0.2500) (multiplicity 4)  12 W 3.12, 4 Tl 3.25
W (0.1259, 0.1259, 0.6259) (multiplicity 16)  6 W 2.64-2.67

Output
Energy of formation in kJ per mole of atoms: 69
Calculated volume in Å³/f.u.: 105.9
Uncorrected energy in eV/atom: -10.044
Total magnetization in μB/cell: 0.00
Crystal system: cubic



Entry 4:
Material: Er2PaTl2S6
Method: DFT, GGA-PBE
State: optimized geometry

Unit cell a=6.9139 b=11.9804 c=7.9564 alpha=90.00 beta=106.99 gamma=90.00
Closest atoms and distances in Å follow each position.
Space group C2/m (No. 12)
Symmetry-distinct sites (fractional):
Er (0.0000, 0.1664, 0.0000) (multiplicity 4)  6 S 2.73-2.74
Pa (0.0000, 0.5000, 0.0000) (multiplicity 2)  6 S 2.72-2.73
Tl (0.0000, 0.3324, 0.5000) (multiplicity 4)  6 S 3.28
S (0.2292, 0.3332, 0.1927) (multiplicity 8)  1 Pa 2.73, 2 Er 2.73-2.74
S (0.2345, 0.0000, 0.1936) (multiplicity 4)  1 Pa 2.72, 2 Er 2.74

Output
Calculated volume in Å³/f.u.: 315.1
Uncorrected energy in eV/atom: -5.895
Total magnetization in μB/cell: 2.11
Crystal system: monoclinic
E_form (uncorrected) in meV/atom: -1521



Entry 5:
Material: BaGa2Mo
Method: DFT, GGA-PBE
State: optimized geometry

Unit cell a=5.3173 b=5.3173 c=17.3926 alpha=90.00 beta=90.00 gamma=90.00
Closest atoms and distances in Å follow each position.
Space group I4_1/amd (No. 141, origin choice 2)
Symmetry-distinct sites (fractional):
Ba (0.0000, 0.2500, 0.3750) (multiplicity 4)  8 Ga 3.68, 4 Mo 3.76
Ga (0.0000, 0.0000, 0.0000) (multiplicity 8)  2 Mo 2.55, 2 Ga 2.66
Mo (0.0000, 0.2500, 0.8750) (multiplicity 4)  4 Ga 2.55

Output
Energy of formation in kJ per mole of atoms: 32
Calculated volume in Å³/f.u.: 122.9
Energy relative to the lowest polymorph listed for this composition in eV per formula unit: 0.00
Uncorrected energy in eV/atom: -4.366
Total magnetization in μB/cell: 7.75
Crystal system: tetragonal



Entry 6:
Material: Mg4Cd3Cu
Method: DFT, GGA-PBE
State: optimized geometry

Unit cell a=3.2613 b=3.2613 c=15.1347 alpha=90.00 beta=90.00 gamma=90.00
Closest atoms and distances in Å follow each position.
Space group P4/mmm (No. 123)
Symmetry-distinct sites (fractional):
Mg (0.0000, 0.0000, 0.0998) (multiplicity 2)  4 Cu 2.76, 1 Mg 3.02, 4 Cd 3.06
Mg (0.0000, 0.0000, 0.3660) (multiplicity 2)  8 Cd 3.06-3.07, 4 Mg 3.26
Cd (0.5000, 0.5000, 0.2329) (multiplicity 2)  8 Mg 3.06, 4 Cd 3.26
Cd (0.5000, 0.5000, 0.5000) (multiplicity 1)  8 Mg 3.07, 4 Cd 3.26
Cu (0.5000, 0.5000, 0.0000) (multiplicity 1)  8 Mg 2.76

Output
Energy of formation in kJ per mole of atoms: -10
Calculated volume in Å³/f.u.: 161.0
Uncorrected energy in eV/atom: -1.761
Total magnetization in μB/cell: 0.00
Crystal system: tetragonal